(1)
A plane-wave DFT calculation with meta-GGA SCAN was carried out for a crystal of La2Co3 relaxed with PBEsol.

The structure in POSCAR format:
```
La2Co3
1.0
0.000 7.613 2.745
4.281 0.000 2.745
4.281 7.613 0.000
La Co
4 6
Direct
0.127 0.873 0.281 La
0.531 0.969 0.377 La
0.873 0.127 0.719 La
0.969 0.531 0.123 La
0.254 0.254 0.746 Co
0.434 0.517 0.317 Co
0.504 0.504 0.996 Co
0.517 0.434 0.732 Co
0.518 0.933 0.733 Co
0.933 0.518 0.816 Co
```

Calculated values
SG: Fdd2, No. 43
Crystal system: orthorhombic
Formation energy from the elements: 0.086 eV per atom

---

(2)
A plane-wave DFT calculation with meta-GGA SCAN was carried out for a crystal of BaIrOs2 relaxed with PBEsol.

The structure in POSCAR format:
```
BaIrOs2
1.0
2.862 0.000 0.000
0.000 4.981 0.000
0.000 0.000 5.088
Ba Ir Os
1 1 2
Direct
0.000 0.000 0.000 Ba
0.500 0.500 0.000 Ir
0.000 0.500 0.500 Os
0.500 0.000 0.500 Os
```

Calculated values
SG: Pmmm, No. 47
Crystal system: orthorhombic
Formation energy from the elements: 1.522 eV per atom

---

(3)
A plane-wave DFT calculation with meta-GGA SCAN was carried out for a crystal of NbTl3Zn relaxed with PBEsol.

The structure in POSCAR format:
```
NbTl3Zn
1.0
5.086 0.000 0.000
0.000 5.086 0.000
0.000 0.000 5.086
Nb Tl Zn
1 3 1
Direct
0.000 0.000 0.000 Nb
0.000 0.500 0.500 Tl
0.500 0.000 0.500 Tl
0.500 0.500 0.000 Tl
0.500 0.500 0.500 Zn
```

Calculated values
SG: Pm-3m, No. 221
Crystal system: cubic
Formation energy from the elements: 0.951 eV per atom

---

(4)
A plane-wave DFT calculation with meta-GGA SCAN was carried out for a crystal of K4TlSe relaxed with PBEsol.

The structure in POSCAR format:
```
K4TlSe
1.0
0.000 4.909 4.909
4.909 0.000 4.909
4.909 4.909 0.000
K Tl Se
4 1 1
Direct
0.377 0.377 0.377 K
0.377 0.377 0.869 K
0.377 0.869 0.377 K
0.869 0.377 0.377 K
0.000 0.000 0.000 Tl
0.750 0.750 0.750 Se
```

Calculated values
SG: F-43m, No. 216
Formation energy from raw total energies: 0.1 eV per formula unit
Crystal system: cubic

---

(5)
A plane-wave DFT calculation with meta-GGA SCAN was carried out for a crystal of Ni2PtRh relaxed with PBEsol.

The structure in POSCAR format:
```
Ni2PtRh
1.0
-1.877 1.877 3.510
1.877 -1.877 3.510
1.877 1.877 -3.510
Ni Pt Rh
2 1 1
Direct
0.250 0.750 0.500 Ni
0.750 0.250 0.500 Ni
0.000 0.000 0.000 Pt
0.500 0.500 0.000 Rh
```

Calculated values
SG: I4/mmm, No. 139
Crystal system: tetragonal
Formation energy from the elements: -0.023 eV per atom

---

(6)
A plane-wave DFT calculation with meta-GGA SCAN was carried out for a crystal of GaAs2SeCl relaxed with PBEsol.

The structure in POSCAR format:
```
GaAs2SeCl
1.0
4.907 0.000 0.000
0.000 4.907 0.000
0.000 0.000 4.887
Ga As Se Cl
1 2 1 1
Direct
0.000 0.000 0.000 Ga
0.000 0.500 0.500 As
0.500 0.000 0.500 As
0.500 0.500 0.000 Se
0.500 0.500 0.500 Cl
```

Calculated values
SG: P4/mmm, No. 123
Formation energy from raw total energies: 5.1 eV per formula unit
Crystal system: tetragonal

---

(7)
A plane-wave DFT calculation with meta-GGA SCAN was carried out for a crystal of Mg2SbPb relaxed with PBEsol.

The structure in POSCAR format:
```
Mg2SbPb
1.0
4.024 0.000 0.000
0.000 4.024 0.000
0.000 0.000 6.183
Mg Sb Pb
2 1 1
Direct
0.000 0.000 0.000 Mg
0.500 0.500 0.300 Mg
0.500 0.500 0.826 Sb
0.000 0.000 0.506 Pb
```

Calculated values
SG: P4mm, No. 99
Formation energy from raw total energies: -0.4 eV per formula unit
Crystal system: tetragonal

---

(8)
A plane-wave DFT calculation with meta-GGA SCAN was carried out for a crystal of Zr2CdRu relaxed with PBEsol.

The structure in POSCAR format:
```
Zr2CdRu
1.0
3.219 0.000 0.000
0.000 3.219 0.000
0.000 0.000 7.313
Zr Cd Ru
2 1 1
Direct
0.000 0.000 0.220 Zr
0.000 0.000 0.780 Zr
0.500 0.500 0.500 Cd
0.500 0.500 0.000 Ru
```

Calculated values
SG: P4/mmm, No. 123
Crystal system: tetragonal
Formation energy from the elements: -0.454 eV per atom

---

(9)
A plane-wave DFT calculation with meta-GGA SCAN was carried out for a crystal of MgGaPO2 relaxed with PBEsol.

The structure in POSCAR format:
```
MgGaPO2
1.0
3.758 0.000 0.000
0.000 3.758 0.000
0.000 0.000 5.287
Mg Ga P O
1 1 1 2
Direct
0.000 0.000 0.000 Mg
0.500 0.500 0.500 Ga
0.000 0.000 0.500 P
0.000 0.500 0.000 O
0.500 0.000 0.000 O
```

Calculated values
SG: P4/mmm, No. 123
Formation energy from raw total energies: -2.0 eV per formula unit
Crystal system: tetragonal

---

(10)
A plane-wave DFT calculation with meta-GGA SCAN was carried out for a crystal of Ca2MgCu3 relaxed with PBEsol.

The structure in POSCAR format:
```
Ca2MgCu3
1.0
5.489 0.000 0.000
-2.745 4.754 0.000
0.000 0.000 8.561
Ca Mg Cu
4 2 6
Direct
0.333 0.667 0.064 Ca
0.333 0.667 0.436 Ca
0.667 0.333 0.564 Ca
0.667 0.333 0.936 Ca
0.000 0.000 0.000 Mg
0.000 0.000 0.500 Mg
0.175 0.351 0.750 Cu
0.175 0.825 0.750 Cu
0.351 0.175 0.250 Cu
0.649 0.825 0.750 Cu
0.825 0.175 0.250 Cu
0.825 0.649 0.250 Cu
```

Calculated values
SG: P6_3/mmc, No. 194
Crystal system: hexagonal
Formation energy from the elements: -0.063 eV per atom

---

(11)
A plane-wave DFT calculation with meta-GGA SCAN was carried out for a crystal of Cr3Br relaxed with PBEsol.

The structure in POSCAR format:
```
Cr3Br
1.0
0.000 2.927 2.927
2.927 0.000 2.927
2.927 2.927 0.000
Cr Br
3 1
Direct
0.000 0.000 0.000 Cr
0.250 0.250 0.250 Cr
0.750 0.750 0.750 Cr
0.500 0.500 0.500 Br
```

Calculated values
SG: Fm-3m, No. 225
Formation energy from raw total energies: 3.9 eV per formula unit
Crystal system: cubic

---

(12)
A plane-wave DFT calculation with meta-GGA SCAN was carried out for a crystal of CaCd2Pb relaxed with PBEsol.

The structure in POSCAR format:
```
CaCd2Pb
1.0
3.705 0.000 0.000
0.000 3.705 0.000
0.000 0.000 7.406
Ca Cd Pb
1 2 1
Direct
0.000 0.000 0.000 Ca
0.000 0.000 0.462 Cd
0.500 0.500 0.265 Cd
0.500 0.500 0.712 Pb
```

Calculated values
SG: P4mm, No. 99
Crystal system: tetragonal
Formation energy from the elements: -0.276 eV per atom

---

(13)
A plane-wave DFT calculation with meta-GGA SCAN was carried out for a crystal of Sr3Ga2N4 relaxed with PBEsol.

The structure in POSCAR format:
```
Sr3Ga2N4
1.0
5.919 0.000 0.000
0.000 10.229 0.000
0.000 0.000 9.468
Sr Ga N
12 8 16
Direct
0.108 0.154 0.088 Sr
0.108 0.346 0.412 Sr
0.250 0.000 0.404 Sr
0.250 0.500 0.096 Sr
0.392 0.654 0.412 Sr
0.392 0.846 0.088 Sr
0.608 0.154 0.912 Sr
0.608 0.346 0.588 Sr
0.750 0.000 0.596 Sr
0.750 0.500 0.904 Sr
0.892 0.654 0.588 Sr
0.892 0.846 0.912 Sr
0.159 0.250 0.750 Ga
0.250 0.000 0.730 Ga
0.250 0.500 0.770 Ga
0.341 0.750 0.750 Ga
0.659 0.250 0.250 Ga
0.750 0.000 0.270 Ga
0.750 0.500 0.230 Ga
0.841 0.750 0.250 Ga
0.006 0.095 0.832 N
0.006 0.405 0.668 N
0.124 0.647 0.876 N
0.124 0.853 0.624 N
0.376 0.147 0.624 N
0.376 0.353 0.876 N
0.494 0.595 0.668 N
0.494 0.905 0.832 N
0.506 0.095 0.168 N
0.506 0.405 0.332 N
0.624 0.647 0.124 N
0.624 0.853 0.376 N
0.876 0.147 0.376 N
0.876 0.353 0.124 N
0.994 0.595 0.332 N
0.994 0.905 0.168 N
```

Calculated values
SG: Pnna, No. 52
Formation energy from raw total energies: -7.2 eV per formula unit
Crystal system: orthorhombic

---

(14)
A plane-wave DFT calculation with meta-GGA SCAN was carried out for a crystal of ScCr4Tc relaxed with PBEsol.

The structure in POSCAR format:
```
ScCr4Tc
1.0
0.000 3.396 3.396
3.396 0.000 3.396
3.396 3.396 0.000
Sc Cr Tc
1 4 1
Direct
0.000 0.000 0.000 Sc
0.127 0.624 0.624 Cr
0.624 0.127 0.624 Cr
0.624 0.624 0.127 Cr
0.624 0.624 0.624 Cr
0.250 0.250 0.250 Tc
```

Calculated values
SG: F-43m, No. 216
Crystal system: cubic
Formation energy from the elements: 0.071 eV per atom

---

(15)
A plane-wave DFT calculation with meta-GGA SCAN was carried out for a crystal of NaSrCa2 relaxed with PBEsol.

The structure in POSCAR format:
```
NaSrCa2
1.0
0.000 4.400 4.400
4.400 0.000 4.400
4.400 4.400 0.000
Na Sr Ca
1 1 2
Direct
0.000 0.000 0.000 Na
0.500 0.500 0.500 Sr
0.250 0.250 0.250 Ca
0.750 0.750 0.750 Ca
```

Calculated values
SG: Fm-3m, No. 225
Crystal system: cubic
Formation energy from the elements: 0.122 eV per atom

---

(16)
A plane-wave DFT calculation with meta-GGA SCAN was carried out for a crystal of TaIrBr2 relaxed with PBEsol.

The structure in POSCAR format:
```
TaIrBr2
1.0
1.780 1.028 8.561
-1.780 1.028 8.561
0.000 -2.055 8.561
Ta Ir Br
1 1 2
Direct
0.000 0.000 0.000 Ta
0.280 0.280 0.280 Ir
0.540 0.540 0.540 Br
0.743 0.743 0.743 Br
```

Calculated values
SG: R3m, No. 160
Formation energy from raw total energies: -2.2 eV per formula unit
Crystal system: trigonal

---

(17)
A plane-wave DFT calculation with meta-GGA SCAN was carried out for a crystal of ScHgPb2 relaxed with PBEsol.

The structure in POSCAR format:
```
ScHgPb2
1.0
-1.751 2.603 5.403
1.751 -2.603 5.403
1.751 2.603 -5.403
Sc Hg Pb
1 1 2
Direct
0.000 0.000 0.000 Sc
0.779 0.279 0.500 Hg
0.250 0.750 0.500 Pb
0.526 0.526 0.000 Pb
```

Calculated values
SG: Imm2, No. 44
Crystal system: orthorhombic
Formation energy from the elements: -0.261 eV per atom

---

(18)
A plane-wave DFT calculation with meta-GGA SCAN was carried out for a crystal of Na2LaAg relaxed with PBEsol.

The structure in POSCAR format:
```
Na2LaAg
1.0
-2.176 2.176 12.401
2.176 -2.176 12.401
2.176 2.176 -12.401
Na La Ag
4 2 2
Direct
0.093 0.625 0.968 Na
0.375 0.343 0.468 Na
0.657 0.125 0.032 Na
0.875 0.907 0.532 Na
0.250 0.750 0.500 La
0.500 0.500 0.000 La
0.000 0.000 0.000 Ag
0.750 0.250 0.500 Ag
```

Calculated values
SG: I-42d, No. 122
Crystal system: tetragonal
Formation energy from the elements: 0.123 eV per atom

---

(19)
A plane-wave DFT calculation with meta-GGA SCAN was carried out for a crystal of In2MoPt relaxed with PBEsol.

The structure in POSCAR format:
```
In2MoPt
1.0
2.872 0.000 0.000
0.000 4.584 0.000
-1.364 0.000 5.426
In Mo Pt
2 1 1
Direct
0.000 0.000 0.000 In
0.355 0.500 0.725 In
0.622 0.500 0.249 Mo
0.231 0.000 0.486 Pt
```

Calculated values
SG: Pm, No. 6
Crystal system: monoclinic
Formation energy from the elements: 0.163 eV per atom

---

(20)
A plane-wave DFT calculation with meta-GGA SCAN was carried out for a crystal of TcTeRh2 relaxed with PBEsol.

The structure in POSCAR format:
```
TcTeRh2
1.0
2.880 0.000 0.000
0.000 2.880 0.000
0.000 0.000 7.651
Tc Te Rh
1 1 2
Direct
0.000 0.000 0.000 Tc
0.000 0.000 0.500 Te
0.500 0.500 0.223 Rh
0.500 0.500 0.777 Rh
```

Calculated values
SG: P4/mmm, No. 123
Formation energy from raw total energies: 0.7 eV per formula unit
Crystal system: tetragonal

---

(21)
A plane-wave DFT calculation with meta-GGA SCAN was carried out for a crystal of Sb2RuPt relaxed with PBEsol.

The structure in POSCAR format:
```
Sb2RuPt
1.0
-2.932 2.932 5.877
2.932 -2.932 5.877
2.932 2.932 -5.877
Sb Ru Pt
4 2 2
Direct
0.116 0.625 0.991 Sb
0.375 0.366 0.491 Sb
0.634 0.125 0.009 Sb
0.875 0.884 0.509 Sb
0.000 0.000 0.000 Ru
0.750 0.250 0.500 Ru
0.250 0.750 0.500 Pt
0.500 0.500 0.000 Pt
```

Calculated values
SG: I-42d, No. 122
Formation energy from raw total energies: 0.2 eV per formula unit
Crystal system: tetragonal

---

(22)
A plane-wave DFT calculation with meta-GGA SCAN was carried out for a crystal of Ce4Cu3S4O4 relaxed with PBEsol.

The structure in POSCAR format:
```
Ce4Cu3S4O4
1.0
-2.700 2.700 8.100
2.700 -2.700 8.100
2.700 2.700 -8.100
Ce Cu S O
4 3 4 4
Direct
0.078 0.580 0.000 Ce
0.420 0.420 0.497 Ce
0.580 0.078 0.000 Ce
0.922 0.922 0.503 Ce
0.000 0.000 0.000 Cu
0.000 0.500 0.500 Cu
0.500 0.000 0.500 Cu
0.167 0.167 0.501 S
0.334 0.833 0.000 S
0.666 0.666 0.499 S
0.833 0.334 0.000 S
0.250 0.750 0.500 O
0.251 0.251 0.000 O
0.749 0.749 0.000 O
0.750 0.250 0.500 O
```

Calculated values
SG: I-42m, No. 121
Formation energy from raw total energies: -35.9 eV per formula unit
Crystal system: tetragonal

---

(23)
A plane-wave DFT calculation with meta-GGA SCAN was carried out for a crystal of CdPb2 relaxed with PBEsol.

The structure in POSCAR format:
```
CdPb2
1.0
5.399 0.000 0.000
-2.700 4.676 0.000
0.000 0.000 6.476
Cd Pb
2 4
Direct
0.333 0.667 0.250 Cd
0.667 0.333 0.750 Cd
0.000 0.000 0.000 Pb
0.000 0.000 0.500 Pb
0.333 0.667 0.750 Pb
0.667 0.333 0.250 Pb
```

Calculated values
SG: P6_3/mmc, No. 194
Crystal system: hexagonal
Formation energy from the elements: 0.074 eV per atom

---

(24)
A plane-wave DFT calculation with meta-GGA SCAN was carried out for a crystal of Ce2Ga12Pd relaxed with PBEsol.

The structure in POSCAR format:
```
Ce2Ga12Pd
1.0
6.009 0.000 0.000
0.000 6.009 0.000
0.000 0.000 15.284
Ce Ga Pd
4 24 2
Direct
0.250 0.750 0.245 Ce
0.250 0.750 0.755 Ce
0.750 0.250 0.245 Ce
0.750 0.250 0.755 Ce
0.000 0.000 0.090 Ga
0.000 0.000 0.910 Ga
0.000 0.500 0.090 Ga
0.000 0.500 0.910 Ga
0.080 0.580 0.429 Ga
0.080 0.920 0.571 Ga
0.250 0.250 0.187 Ga
0.250 0.250 0.343 Ga
0.250 0.250 0.657 Ga
0.250 0.250 0.813 Ga
0.420 0.580 0.571 Ga
0.420 0.920 0.429 Ga
0.500 0.000 0.090 Ga
0.500 0.000 0.910 Ga
0.500 0.500 0.090 Ga
0.500 0.500 0.910 Ga
0.580 0.080 0.571 Ga
0.580 0.420 0.429 Ga
0.750 0.750 0.187 Ga
0.750 0.750 0.343 Ga
0.750 0.750 0.657 Ga
0.750 0.750 0.813 Ga
0.920 0.080 0.429 Ga
0.920 0.420 0.571 Ga
0.250 0.750 0.000 Pd
0.750 0.250 0.000 Pd
```

Calculated values
SG: P4/nbm, No. 125
Crystal system: tetragonal
Formation energy from the elements: -0.488 eV per atom